Record 1
Density functional theory data (PBE) for a relaxed La2CoRu crystal.

```
data_La2CoRu
_chemical_formula_sum 'La2 Co1 Ru1'
_cell_length_a 5.034
_cell_length_b 5.034
_cell_length_c 3.520
_cell_angle_alpha 90.00
_cell_angle_beta 90.00
_cell_angle_gamma 90.00
_space_group_name_H-M_alt 'P 4/m m m'
_space_group_IT_number 123
_space_group_name_Hall '-P 4 2'
loop_
_atom_site_label
_atom_site_type_symbol
_atom_site_fract_x
_atom_site_fract_y
_atom_site_fract_z
La1 La 0.000 0.500 0.000
Co1 Co 0.000 0.000 0.500
Ru1 Ru 0.500 0.500 0.500
```

***

Record 2
Density functional theory data (PBE) for a relaxed La2CoRu crystal.

```
data_La2CoRu
_chemical_formula_sum 'La2 Co1 Ru1'
_cell_length_a 3.516
_cell_length_b 3.533
_cell_length_c 7.151
_cell_angle_alpha 90.00
_cell_angle_beta 90.00
_cell_angle_gamma 90.00
_space_group_name_H-M_alt 'P m m m'
_space_group_IT_number 47
_space_group_name_Hall '-P 2 2'
loop_
_atom_site_label
_atom_site_type_symbol
_atom_site_fract_x
_atom_site_fract_y
_atom_site_fract_z
La1 La 0.000 0.000 0.249
Co1 Co 0.500 0.500 0.000
Ru1 Ru 0.500 0.500 0.500
```

***

Record 3
Density functional theory data (PBE) for a relaxed LaCoRu2 crystal.

Summary:
* energy relative to the lowest polymorph listed for this composition: 335 meV per atom

```
data_LaCoRu2
_chemical_formula_sum 'La4 Co4 Ru8'
_cell_length_a 6.517
_cell_length_b 6.517
_cell_length_c 6.517
_cell_angle_alpha 90.00
_cell_angle_beta 90.00
_cell_angle_gamma 90.00
_space_group_name_H-M_alt 'F -4 3 m'
_space_group_IT_number 216
_space_group_name_Hall 'F -4 2 3'
loop_
_atom_site_label
_atom_site_type_symbol
_atom_site_fract_x
_atom_site_fract_y
_atom_site_fract_z
La1 La 0.000 0.000 0.000
Co1 Co 0.250 0.250 0.250
Ru1 Ru 0.000 0.000 0.500
Ru2 Ru 0.250 0.250 0.750
```

***

Record 4
Density functional theory data (PBE) for a relaxed LaCoRu2 crystal.

Summary:
* energy relative to the lowest polymorph listed for this composition: 293 meV per atom

```
data_LaCoRu2
_chemical_formula_sum 'La1 Co1 Ru2'
_cell_length_a 2.992
_cell_length_b 2.992
_cell_length_c 7.451
_cell_angle_alpha 90.00
_cell_angle_beta 90.00
_cell_angle_gamma 90.00
_space_group_name_H-M_alt 'P 4/m m m'
_space_group_IT_number 123
_space_group_name_Hall '-P 4 2'
loop_
_atom_site_label
_atom_site_type_symbol
_atom_site_fract_x
_atom_site_fract_y
_atom_site_fract_z
La1 La 0.000 0.000 0.000
Co1 Co 0.000 0.000 0.500
Ru1 Ru 0.500 0.500 0.314
```

***

Record 5
Density functional theory data (PBE) for a relaxed LaCoRu2 crystal.

Summary:
* energy relative to the lowest polymorph listed for this composition: 314 meV per atom

```
data_LaCoRu2
_chemical_formula_sum 'La1 Co1 Ru2'
_cell_length_a 3.019
_cell_length_b 4.281
_cell_length_c 5.525
_cell_angle_alpha 90.00
_cell_angle_beta 100.80
_cell_angle_gamma 90.00
_space_group_name_H-M_alt 'P 1 2/m 1'
_space_group_IT_number 10
_space_group_name_Hall '-P 2y'
loop_
_atom_site_label
_atom_site_type_symbol
_atom_site_fract_x
_atom_site_fract_y
_atom_site_fract_z
La1 La 0.000 0.000 0.000
Co1 Co 0.500 0.000 0.500
Ru1 Ru 0.311 0.500 0.697
```

***

Record 6
Density functional theory data (PBE) for a relaxed LaCoRu2 crystal.

Summary:
* energy relative to the lowest polymorph listed for this composition: 410 meV per atom

```
data_LaCoRu2
_chemical_formula_sum 'La1 Co1 Ru2'
_cell_length_a 4.539
_cell_length_b 4.539
_cell_length_c 3.386
_cell_angle_alpha 90.00
_cell_angle_beta 90.00
_cell_angle_gamma 90.00
_space_group_name_H-M_alt 'P 4/m m m'
_space_group_IT_number 123
_space_group_name_Hall '-P 4 2'
loop_
_atom_site_label
_atom_site_type_symbol
_atom_site_fract_x
_atom_site_fract_y
_atom_site_fract_z
La1 La 0.000 0.000 0.000
Co1 Co 0.500 0.500 0.000
Ru1 Ru 0.000 0.500 0.500
```

***

Record 7
Density functional theory data (PBE) for a relaxed LaCo3Ru crystal.

Summary:
* energy relative to the lowest polymorph listed for this composition: 1210 meV per atom

```
data_LaCo3Ru
_chemical_formula_sum 'La1 Co3 Ru1'
_cell_length_a 4.458
_cell_length_b 4.458
_cell_length_c 4.458
_cell_angle_alpha 90.00
_cell_angle_beta 90.00
_cell_angle_gamma 90.00
_space_group_name_H-M_alt 'P m -3 m'
_space_group_IT_number 221
_space_group_name_Hall '-P 4 2 3'
loop_
_atom_site_label
_atom_site_type_symbol
_atom_site_fract_x
_atom_site_fract_y
_atom_site_fract_z
La1 La 0.000 0.000 0.000
Co1 Co 0.000 0.000 0.500
Ru1 Ru 0.500 0.500 0.500
```

***

Record 8
Density functional theory data (PBE) for a relaxed LaCo3Ru crystal.

Summary:
* energy relative to the lowest polymorph listed for this composition: 0 meV per atom

```
data_LaCo3Ru
_chemical_formula_sum 'La1 Co3 Ru1'
_cell_length_a 4.501
_cell_length_b 4.501
_cell_length_c 4.501
_cell_angle_alpha 90.00
_cell_angle_beta 90.00
_cell_angle_gamma 90.00
_space_group_name_H-M_alt 'P m -3 m'
_space_group_IT_number 221
_space_group_name_Hall '-P 4 2 3'
loop_
_atom_site_label
_atom_site_type_symbol
_atom_site_fract_x
_atom_site_fract_y
_atom_site_fract_z
La1 La 0.000 0.000 0.000
Co1 Co 0.000 0.500 0.500
Ru1 Ru 0.500 0.500 0.500
```

***

Calculated DFT formation energy, -4, -11, 145, 129, 137, 174, 877, 293 kJ/mol of formula units (same order as the records).
Calculated calculated total energy, -6.57, -6.59, -7.27, -7.31, -7.29, -7.20, -5.29, -6.50 eV per atom (same order as the records).